DFT (GGA-PBE) results for a relaxed LaCr2Ag crystal.

Its formation energy from the elements is 0.859 eV per atom. For the total energy, the calculation gives -5.90 eV per atom. The excess energy over the best structure of this formula in the dataset comes out at 218 kJ/mol of formula units. For the mass density, the calculation gives 6.51 g cm⁻³. The calculation puts the magnetic moment at 0.0 μB per formula unit. The space group is I4_1/amd, No. 141.

Cell and atoms, written as POSCAR:
```
LaCr2Ag
1.0
4.2759 0.0000 0.0000
0.0000 4.2759 0.0000
2.1380 2.1380 9.7816
Cr Ag La
4 2 2
Cartesian
2.1373 1.0690 2.4454
2.1386 3.2070 2.4454
5.3449 4.2753 7.3362
3.2070 4.2766 7.3362
2.1380 4.2759 4.8908
2.1380 2.1380 0.0000
4.2759 2.1380 4.8908
0.0000 0.0000 0.0000
```

DFT (GGA-PBE) results for a relaxed VNiGe2 crystal.

Its formation energy from the elements is 0.024 eV per atom. For the total energy, the calculation gives -6.01 eV per atom. For the mass density, the calculation gives 7.64 g cm⁻³. The calculation puts the magnetic moment at 0.9 μB per formula unit. The space group is Fm-3m, No. 225.

Cell and atoms, written as POSCAR:
```
VNiGe2
1.0
0.0000 3.0259 3.0259
3.0259 0.0000 3.0259
3.0259 3.0259 0.0000
Ge V Ni
2 1 1
Cartesian
4.5389 4.5389 4.5389
1.5130 1.5130 1.5130
0.0000 0.0000 0.0000
3.0259 3.0259 3.0259
```

DFT (GGA-PBE) results for a relaxed ErSc3Ga4 crystal.

Its formation energy from the elements is -0.581 eV per atom. For the total energy, the calculation gives -5.04 eV per atom. For the mass density, the calculation gives 6.11 g cm⁻³. The calculation puts the magnetic moment at 0.0 μB per formula unit. The space group is Pmma, No. 51.

Cell and atoms, written as POSCAR:
```
ErSc3Ga4
1.0
4.8219 0.0000 0.0000
0.0000 6.7882 0.0000
0.0000 0.0000 9.6443
Ga Sc Er
8 6 2
Cartesian
2.4109 1.6324 0.0000
2.4109 5.1558 4.8222
4.8151 5.1561 2.4111
0.0068 5.1561 7.2333
0.0068 1.6321 7.2333
4.8151 1.6321 2.4111
2.4109 1.6324 4.8222
2.4109 5.1558 0.0000
2.4063 3.3941 2.4111
0.0000 0.0000 0.0000
2.4172 0.0000 7.2333
2.4156 3.3941 7.2333
2.4047 0.0000 2.4111
0.0000 0.0000 4.8222
0.0000 3.3941 4.8222
0.0000 3.3941 0.0000
```

DFT (GGA-PBE) results for a relaxed AlPt3Se crystal.

For the total energy, the calculation gives -4.57 eV per atom. The excess energy over the best structure of this formula in the dataset comes out at 0 kJ/mol of formula units. For the mass density, the calculation gives 11.79 g cm⁻³. The calculation puts the magnetic moment at 0.0 μB per formula unit. The space group is Pm-3m, No. 221. For the formation energy from raw total energies, the calculation gives 2.48 eV/f.u.

Cell and atoms, written as POSCAR:
```
AlPt3Se
1.0
-1.2195 4.4292 0.2315
-1.5718 -0.2070 -4.3180
-4.1474 -1.2239 1.5684
Pt Se Al
3 1 1
Cartesian
-0.6097 2.2146 0.1158
-2.0737 -0.6119 0.7842
-0.7859 -0.1035 -2.1590
-3.4693 1.4991 -1.2590
0.0000 0.0000 0.0000
```